(1)
Compound: Ti5V3Pt12
Source: Alexandria
Functional: PBE
Structure: relaxed

Unit cell a=14.6087 b=14.6087 c=14.6087 alpha=90.00 beta=90.00 gamma=90.00
Space group Ia-3d (No. 230)
Symmetry-distinct sites (fractional):
Ti 0.0000 0.0000 0.0000 [16 per cell]
Ti 0.0000 0.2500 0.3750 [24 per cell]
V 0.0000 0.2500 0.1250 [24 per cell]
Pt 0.0151 0.0797 0.6517 [96 per cell]

Results
The value obtained for the calculated volume is 3118 Å³ per cell. The formation energy comes out at -0.1770 eV/atom. For the mass density, the calculation gives 11.6 g cm⁻³. As for the magnetic moment: 3.04 μB/f.u.

(2)
Compound: Sr3AlTl
Source: Alexandria
Functional: PBE
Structure: relaxed

Unit cell a=24.6745 b=4.4786 c=7.2083 alpha=90.00 beta=99.61 gamma=90.00
Space group C2/m (No. 12)
Symmetry-distinct sites (fractional):
Sr 0.0056 0.0000 0.2595 [4 per cell]
Sr 0.1373 0.5000 0.0726 [4 per cell]
Sr 0.1874 0.0000 0.6045 [4 per cell]
Al 0.2410 0.0000 0.0917 [4 per cell]
Tl 0.0793 0.5000 0.5630 [4 per cell]

Results
The value obtained for the calculated volume is 785 Å³ per cell. The formation energy comes out at -0.2027 eV/atom. For the mass density, the calculation gives 4.2 g cm⁻³. As for the magnetic moment: 0.00 μB/f.u. The calculation puts the energy above the lowest structure with this stoichiometry at 0 meV/atom.

(3)
Compound: SrZrCd2
Source: Alexandria
Functional: PBE
Structure: relaxed

Unit cell a=3.4669 b=5.5054 c=11.1788 alpha=90.00 beta=90.00 gamma=90.00
Space group Imm2 (No. 44)
Symmetry-distinct sites (fractional):
Sr 0.0000 0.0000 0.0000 [2 per cell]
Zr 0.0000 0.5000 0.7862 [2 per cell]
Cd 0.0000 0.0000 0.5166 [2 per cell]
Cd 0.0000 0.5000 0.2353 [2 per cell]

Results
The value obtained for the calculated volume is 213 Å³ per cell. The formation energy comes out at 0.0818 eV/atom. For the mass density, the calculation gives 6.3 g cm⁻³. As for the magnetic moment: 1.12 μB/f.u.

(4)
Compound: Ac12GaGe6
Source: Alexandria
Functional: PBE
Structure: relaxed

Unit cell a=14.1907 b=14.1907 c=12.7932 alpha=90.00 beta=90.00 gamma=120.00
Space group R-3 (No. 148, hexagonal axes)
Symmetry-distinct sites (fractional):
Ac 0.0300 0.8270 0.3867 [18 per cell]
Ac 0.0456 0.8320 0.8850 [18 per cell]
Ga 0.0000 0.0000 0.0000 [3 per cell]
Ge 0.0416 0.7774 0.6472 [18 per cell]

Results
The value obtained for the calculated volume is 2231 Å³ per cell. The formation energy comes out at -0.4226 eV/atom. For the mass density, the calculation gives 7.2 g cm⁻³. As for the magnetic moment: 0.62 μB/f.u.

(5)
Compound: Dy3Pd12Pb
Source: Alexandria
Functional: PBE
Structure: relaxed

Unit cell a=4.1211 b=4.1211 c=16.4700 alpha=90.00 beta=90.00 gamma=90.00
Space group P4/mmm (No. 123)
Symmetry-distinct sites (fractional):
Dy 0.0000 0.0000 0.0000 [1 per cell]
Dy 0.0000 0.0000 0.2494 [2 per cell]
Pd 0.0000 0.5000 0.1253 [4 per cell]
Pd 0.0000 0.5000 0.3758 [4 per cell]
Pd 0.5000 0.5000 0.0000 [1 per cell]
Pd 0.5000 0.5000 0.2519 [2 per cell]
Pd 0.5000 0.5000 0.5000 [1 per cell]
Pb 0.0000 0.0000 0.5000 [1 per cell]

Results
The value obtained for the calculated volume is 280 Å³ per cell. The formation energy comes out at -0.7334 eV/atom. For the mass density, the calculation gives 11.7 g cm⁻³. As for the magnetic moment: 0.00 μB/f.u.

(6)
Compound: Nd6DyEr5
Source: Alexandria
Functional: PBE
Structure: relaxed

Unit cell a=5.1198 b=10.0598 c=15.3070 alpha=90.00 beta=90.00 gamma=90.00
Space group Immm (No. 71)
Symmetry-distinct sites (fractional):
Nd 0.0000 0.2495 0.0000 [4 per cell]
Nd 0.0000 0.2503 0.3333 [8 per cell]
Dy 0.0000 0.0000 0.5000 [2 per cell]
Er 0.0000 0.0000 0.1667 [4 per cell]
Er 0.0000 0.5000 0.1667 [4 per cell]
Er 0.0000 0.5000 0.5000 [2 per cell]

Results
The value obtained for the calculated volume is 788 Å³ per cell. The formation energy comes out at 0.0173 eV/atom. For the mass density, the calculation gives 7.9 g cm⁻³. As for the magnetic moment: 0.00 μB/f.u. The calculation puts the energy above the lowest structure with this stoichiometry at 5 meV/atom.